First-principles (PBE+U) data for a relaxed LaMgTaCrO6 crystal, as listed in the Alexandria database.

```
LaMgTaCrO6
1.0
5.3524 0.0000 0.0000
0.0000 5.5347 0.0000
-5.2352 0.0000 8.6155
La Mg Ta Cr O
2 2 2 2 12
direct
0.0000 0.2131 0.0000
0.0000 0.7869 0.5000
0.5765 0.2985 0.5487
0.5765 0.7015 0.0487
0.2783 0.2420 0.7556
0.2783 0.7580 0.2556
0.7791 0.2564 0.2601
0.7791 0.7436 0.7601
0.2090 0.1797 0.5417
0.2090 0.8203 0.0417
0.3886 0.3478 0.9660
0.3886 0.6522 0.4660
0.5420 0.0553 0.3441
0.5420 0.9447 0.8441
0.6136 0.4325 0.7822
0.6136 0.5675 0.2822
0.9218 0.0452 0.7022
0.9218 0.9548 0.2022
0.9760 0.4870 0.1689
0.9760 0.5130 0.6689
```

Summary:
Total magnetization in μB per formula unit: 4.00
Uncorrected energy in eV per atom: -8.293
Space group: Pc (7)

***

First-principles (PBE+U) data for a relaxed LaMgVCrO6 crystal, as listed in the Alexandria database.

```
LaMgVCrO6
1.0
5.3263 0.0000 0.0000
0.0000 5.4803 0.0000
-5.2802 0.0000 7.7370
La Mg V Cr O
2 2 2 2 12
direct
0.0000 0.2106 0.0000
0.0000 0.7894 0.5000
0.4909 0.3007 0.5118
0.4909 0.6993 0.0118
0.2391 0.2514 0.7476
0.2391 0.7486 0.2476
0.7409 0.2538 0.2488
0.7409 0.7462 0.7488
0.1191 0.0606 0.3102
0.1191 0.9394 0.8102
0.4012 0.4818 0.1838
0.4012 0.5182 0.6838
0.4881 0.0553 0.6947
0.4881 0.9447 0.1947
0.5650 0.3028 0.9929
0.5650 0.6972 0.4929
0.8651 0.2231 0.4975
0.8651 0.7769 0.9975
0.9980 0.4536 0.7836
0.9980 0.5464 0.2836
```

Summary:
Total magnetization in μB per formula unit: 4.00
Uncorrected energy in eV per atom: -7.601
Space group: Pc (7)

***

First-principles (PBE+U) data for a relaxed LaMgCrWO6 crystal, as listed in the Alexandria database.

```
LaMgCrWO6
1.0
5.4327 0.0000 0.0000
0.0000 5.5804 0.0000
-5.4232 0.0000 7.9506
La Mg Cr W O
2 2 2 2 12
direct
0.0000 0.2135 0.0000
0.0000 0.7865 0.5000
0.5343 0.2908 0.5284
0.5343 0.7092 0.0284
0.2508 0.2413 0.7478
0.2508 0.7587 0.2478
0.7538 0.2626 0.2508
0.7538 0.7374 0.7508
0.1332 0.2063 0.5021
0.1332 0.7937 0.0021
0.4086 0.3210 0.9903
0.4086 0.6790 0.4903
0.5058 0.0768 0.3197
0.5058 0.9232 0.8197
0.5929 0.4242 0.7792
0.5929 0.5758 0.2792
0.8839 0.0462 0.6939
0.8839 0.9538 0.1939
0.9664 0.4838 0.1777
0.9664 0.5162 0.6777
```

Summary:
Total magnetization in μB per formula unit: 5.00
Uncorrected energy in eV per atom: -7.547
Space group: Pc (7)